(1)
TbPmPrY | PBE-GGA | optimized geometry

Cell and atoms, written as POSCAR:
```
TbPmPrY
1.0
5.1378 0.0000 0.0000
0.0000 5.1389 0.0000
-2.5689 -2.5695 5.1092
Tb Pm Pr Y
1 1 1 1
Cartesian
0.0000 0.0000 4.5528
2.5689 2.5695 4.5525
0.0000 2.5695 1.9985
2.5689 0.0000 1.9982
```

Results
- distance to the lowest polymorph of the same formula (kJ/mol of formula units) = 0.0


(2)
CaCrTc2 | PBE-GGA | optimized geometry

Cell and atoms, written as POSCAR:
```
CaCrTc2
1.0
4.1440 0.0000 0.0000
0.0000 12.6649 0.0000
0.0000 0.0000 2.9327
Cr Ca Tc
2 2 4
Cartesian
0.0000 6.1100 1.0591
2.0720 6.5548 2.5255
0.0000 11.0858 1.9079
2.0720 1.5790 0.4415
0.0000 8.1597 2.5862
2.0720 4.5052 1.1198
0.0000 3.7872 2.2955
2.0720 8.8777 0.8291
```

Results
- distance to the lowest polymorph of the same formula (kJ/mol of formula units) = 45.7


(3)
PmPr2Th | PBE-GGA | optimized geometry

Cell and atoms, written as POSCAR:
```
PmPr2Th
1.0
-0.7868 2.7878 2.2668
-1.7438 -0.2949 -3.2252
-8.4506 -6.5899 5.1715
Pm Pr Th
1 2 1
Cartesian
-5.8422 -3.1811 0.0886
-3.3842 -0.4837 0.6152
-7.6607 -3.8185 3.2322
-0.9781 2.1715 1.1688
```

Results
- distance to the lowest polymorph of the same formula (kJ/mol of formula units) = 0.0


(4)
Tb12NiAu6 | PBE-GGA | optimized geometry

Cell and atoms, written as POSCAR:
```
Tb12NiAu6
1.0
8.3505 0.0013 0.0015
-1.2647 8.2542 0.0015
-1.2647 -1.4735 8.1216
Tb Ni Au
12 1 6
Cartesian
5.5765 4.1077 3.4143
1.7495 5.9101 4.6517
3.2148 2.2631 6.6462
0.2446 2.6743 4.7104
4.0716 0.8719 3.4729
2.6063 4.5189 1.4785
-1.0745 7.4930 2.5531
-1.7482 4.2832 7.5957
4.4987 7.6662 0.2961
6.8956 -0.7110 5.5715
7.5692 2.4988 0.5289
1.3224 -0.8842 7.8286
0.0000 0.0000 0.0000
4.2346 6.6095 3.0466
4.6676 2.3210 1.0772
-0.0700 4.7114 2.4761
1.5865 0.1725 5.0780
1.1535 4.4610 7.0475
5.8911 2.0706 5.6486
```


Values of formation energy, in order: 17.1; 341.0; 41.5; -453.7, all in meV per atom.
Values of Fermi-level density of states, in order: 5.81; 8.05; 5.71; 20.48, all in states/eV/cell.